1.
The following is a DFT calculation (PBE-GGA) of a relaxed structure of HfBeCuTe2.

POSCAR file:
```
HfBeCuTe2
1.0
5.040 0.000 0.000
0.000 5.040 0.000
0.000 0.000 4.022
Hf Be Cu Te
1 1 1 2
direct
0.000 0.000 0.000 Hf
0.500 0.500 0.500 Be
0.500 0.500 0.000 Cu
0.000 0.500 0.500 Te
0.500 0.000 0.500 Te
```

Values from the calculation:
ρ: 8.23 g/cm³
Symmetry: P4/mmm, No. 123
E_form (uncorrected): 0.35 eV per atom

---

2.
The following is a DFT calculation (PBE-GGA) of a relaxed structure of Th6FeBi3.

POSCAR file:
```
Th6FeBi3
1.0
9.676 0.000 0.000
0.000 5.583 0.000
-3.643 0.000 11.001
Th Fe Bi
12 2 6
direct
0.046 0.250 0.409 Th
0.156 0.750 0.183 Th
0.259 0.250 0.997 Th
0.341 0.250 0.312 Th
0.383 0.750 0.878 Th
0.445 0.250 0.667 Th
0.555 0.750 0.333 Th
0.617 0.250 0.122 Th
0.659 0.750 0.688 Th
0.741 0.750 0.003 Th
0.844 0.250 0.817 Th
0.954 0.750 0.591 Th
0.432 0.750 0.109 Fe
0.568 0.250 0.891 Fe
0.027 0.750 0.886 Bi
0.128 0.250 0.704 Bi
0.298 0.750 0.494 Bi
0.702 0.250 0.506 Bi
0.872 0.750 0.296 Bi
0.973 0.250 0.114 Bi
```

Values from the calculation:
Polymorph energy (0 for the lowest one): 0.000 eV per formula unit
Calculated formation energy: -0.22 eV per atom
ρ: 11.60 g/cm³
Symmetry: P2_1/m, No. 11

---

3.
The following is a DFT calculation (PBE-GGA) of a relaxed structure of Co3ReHg.

POSCAR file:
```
Co3ReHg
1.0
4.615 0.000 0.000
0.000 4.615 0.000
0.000 0.000 4.615
Co Re Hg
3 1 1
direct
0.000 0.000 0.500 Co
0.000 0.500 0.000 Co
0.500 0.000 0.000 Co
0.500 0.500 0.500 Re
0.000 0.000 0.000 Hg
```

Values from the calculation:
Polymorph energy (0 for the lowest one): 4.889 eV per formula unit
Calculated formation energy: 2.37 eV per atom
ρ: 9.52 g/cm³
Symmetry: Pm-3m, No. 221